No. 1
{"formula": "BaLiMg2", "functional": "PBE", "state": "optimized geometry", "lattice_angstrom": [[-1.1040, 4.6880, 3.5459], [-5.6520, 1.4840, -1.2739], [2.1865, -5.3608, 1.5004]], "species": ["Ba", "Li", "Mg", "Mg"], "fractional_positions": [[0.2500, 0.7500, 0.5000], [0.7500, 0.2500, 0.5000], [0.0000, 0.0000, 0.0000], [0.5000, 0.5000, 0.0000]], "relative_energy_mev_per_atom": 102, "total_magnetization_mub_per_fu": 0.0, "e_form_mev_per_atom": 56, "dos_at_fermi_per_ev_cell": 2.9, "sg": "I4/mmm (139)"}

***

No. 2
{"formula": "Li3YMg", "functional": "PBE", "state": "optimized geometry", "lattice_angstrom": [[5.4420, 0.0000, 0.0000], [0.0000, 5.4420, 0.0000], [0.0000, 0.0000, 5.4420]], "species": ["Y", "Mg", "Li", "Li", "Li"], "fractional_positions": [[0.0000, 0.0000, 0.0000], [0.5000, 0.5000, 0.5000], [0.0000, 0.0000, 0.5000], [0.5000, 0.0000, 0.0000], [0.0000, 0.5000, 0.0000]], "relative_energy_mev_per_atom": 646, "total_magnetization_mub_per_fu": 1.2, "e_form_mev_per_atom": 1026, "dos_at_fermi_per_ev_cell": 8.4, "sg": "Pm-3m (221)"}

***

No. 3
{"formula": "Sm2TmHgC", "functional": "PBE", "state": "optimized geometry", "lattice_angstrom": [[-1.1935, -4.3354, -1.5317], [-0.2106, -1.6395, 4.8046], [-4.9135, 1.2750, 0.2197]], "species": ["Sm", "C", "Hg", "Sm", "Tm"], "fractional_positions": [[0.0000, 0.0000, 0.5000], [0.0000, 0.0000, 0.0000], [0.5000, 0.5000, 0.5000], [0.0000, 0.5000, 0.0000], [0.5000, 0.0000, 0.0000]], "total_magnetization_mub_per_fu": 0.0, "e_form_mev_per_atom": -314, "dos_at_fermi_per_ev_cell": 5.2, "sg": "P4/mmm (123)"}

***

No. 4
{"formula": "Er2MnGa", "functional": "PBE", "state": "optimized geometry", "lattice_angstrom": [[3.5080, 0.0000, 0.0000], [0.0000, 3.5080, 0.0000], [0.0000, 0.0000, 7.1073]], "species": ["Er", "Er", "Mn", "Ga"], "fractional_positions": [[0.0000, 0.0000, 0.7430], [0.0000, 0.0000, 0.2570], [0.5000, 0.5000, 0.5000], [0.5000, 0.5000, 0.0000]], "relative_energy_mev_per_atom": 0, "total_magnetization_mub_per_fu": 2.7, "e_form_mev_per_atom": -216, "dos_at_fermi_per_ev_cell": 3.6, "sg": "P4/mmm (123)"}

***

No. 5
{"formula": "Mg2Si2Hg", "functional": "PBE", "state": "optimized geometry", "lattice_angstrom": [[-7.9684, 0.4096, -0.1214], [-0.3572, -5.1432, 6.0908], [0.0893, 2.3194, 1.9638]], "species": ["Mg", "Hg", "Si", "Mg", "Mg", "Si", "Si", "Si", "Hg", "Mg"], "fractional_positions": [[0.1887, 0.6887, 0.5000], [0.5000, 0.5000, 0.0000], [0.3938, 0.8938, 0.0000], [0.8113, 0.3113, 0.5000], [0.6887, 0.8113, 0.5000], [0.1062, 0.3938, 0.0000], [0.6062, 0.1062, 0.0000], [0.8938, 0.6062, 0.0000], [0.0000, 0.0000, 0.0000], [0.3113, 0.1887, 0.5000]], "relative_energy_mev_per_atom": 0, "total_magnetization_mub_per_fu": 0.0, "dos_at_fermi_per_ev_cell": 3.8, "sg": "P4/mbm (127)", "raw_formation_energy_mev_per_atom": 95}

***

No. 6
{"formula": "NaZnTe2O", "functional": "PBE", "state": "optimized geometry", "lattice_angstrom": [[-5.5521, 0.4610, -0.2223], [-0.1960, -3.3670, -2.0873], [-0.4313, -2.9109, 4.7359]], "species": ["Te", "Zn", "Na", "Te", "O"], "fractional_positions": [[0.0000, 0.0000, 0.5000], [0.5000, 0.5000, 0.5000], [0.0000, 0.0000, 0.0000], [0.5000, 0.0000, 0.0000], [0.0000, 0.5000, 0.0000]], "total_magnetization_mub_per_fu": 0.0, "dos_at_fermi_per_ev_cell": 7.0, "sg": "P4/mmm (123)", "raw_formation_energy_mev_per_atom": 507}